1.
The following is a DFT calculation (PBE) of a relaxed structure of Nb3TcHg.

D(E_F): 12.7 states/eV/cell
SG: Pm-3m
electronic total energy: -28.9 eV per cell
energy of formation: 2.40 eV per atom

```
5
Lattice="-3.307 3.426 1.381 -3.407 -2.111 -2.919 -1.429 -2.896 3.762" Properties=species:S:1:pos:R:3 pbc="T T T"
Nb -1.703 -1.055 -1.460
Nb -0.715 -1.448 1.881
Nb -1.653 1.713 0.691
Hg 0.000 0.000 0.000
Tc -4.071 -0.790 1.112
```

---

2.
The following is a DFT calculation (PBE) of a relaxed structure of Pm2Dy4HoTh.

D(E_F): 14.8 states/eV/cell
SG: P4/mmm
electronic total energy: -38.9 eV per cell
energy of formation: 0.13 eV per atom

```
8
Lattice="-3.301 -4.585 1.747 3.869 -3.730 -2.479 7.649 -4.031 3.872" Properties=species:S:1:pos:R:3 pbc="T T T"
Pm 7.649 -4.031 3.872
Pm 2.174 -4.308 2.809
Dy 8.638 -5.821 1.044
Dy -0.421 -6.525 2.096
Dy 3.163 -6.097 -0.017
Dy 5.054 -6.249 3.157
Ho 5.759 -3.881 0.697
Th 7.933 -8.189 3.506
```

---

3.
The following is a DFT calculation (PBE) of a relaxed structure of NaTb2Tl8.

D(E_F): 5.6 states/eV/cell
SG: P4/mmm
electronic total energy: -31.1 eV per cell
energy of formation: -0.14 eV per atom

```
11
Lattice="4.928 0.000 0.000 0.000 4.928 0.000 0.000 0.000 12.879" Properties=species:S:1:pos:R:3 pbc="T T T"
Na 0.000 0.000 0.000
Tb 0.000 0.000 4.224
Tb 0.000 0.000 8.655
Tl 0.000 2.464 6.439
Tl 2.464 0.000 6.439
Tl 2.464 2.464 4.112
Tl 2.464 2.464 8.767
Tl 0.000 2.464 1.892
Tl 2.464 0.000 1.892
Tl 0.000 2.464 10.987
Tl 2.464 0.000 10.987
```

---

4.
The following is a DFT calculation (PBE) of a relaxed structure of RbLi2TaF8.

D(E_F): 0.0 states/eV/cell
uncorrected formation energy: -2.982 eV/atom
SG: R-3m
electronic total energy: -67.4 eV per cell

```
12
Lattice="5.468 0.000 0.000 2.734 4.736 0.000 2.734 1.579 7.703" Properties=species:S:1:pos:R:3 pbc="T T T"
Rb 0.000 0.000 0.000
Li 8.202 4.736 6.119
Li 2.734 1.579 1.584
Ta 5.468 3.157 3.852
F 5.468 3.157 0.142
F 5.468 3.157 7.562
F 4.107 2.369 2.748
F 6.831 3.942 4.955
F 4.107 3.945 4.955
F 5.466 4.729 2.748
F 6.831 2.372 2.748
F 5.466 1.585 4.955
```

---

5.
The following is a DFT calculation (PBE) of a relaxed structure of La8Pr2Al.

D(E_F): 17.3 states/eV/cell
SG: C2/m
electronic total energy: -52.1 eV per cell
energy of formation: 0.05 eV per atom

```
11
Lattice="6.942 -0.991 -0.752 -0.948 8.568 2.142 -0.948 4.370 7.675" Properties=species:S:1:pos:R:3 pbc="T T T"
La 1.550 5.998 6.601
La 3.495 3.976 5.067
La -0.183 10.587 8.033
La 5.227 1.361 1.033
La 1.550 7.972 3.999
La 3.495 5.950 2.465
La 5.445 6.909 5.242
La -0.401 5.039 3.823
Pr 3.244 9.233 7.005
Pr 1.801 2.715 2.060
Al 0.000 0.000 0.000
```

---

6.
The following is a DFT calculation (PBE) of a relaxed structure of ZnCr2Ni.

D(E_F): 1.1 states/eV/cell
SG: F-43m
electronic total energy: -25.9 eV per cell
energy of formation: 0.11 eV per atom

```
4
Lattice="4.149 0.000 0.000 2.075 3.593 0.000 2.075 1.198 3.388" Properties=species:S:1:pos:R:3 pbc="T T T"
Cr 0.000 0.000 0.000
Cr 2.075 1.198 0.847
Ni 4.149 2.396 1.694
Zn 6.224 3.593 2.541
```

---

7.
The following is a DFT calculation (PBE) of a relaxed structure of SrReN3.

D(E_F): 0.4 states/eV/cell
uncorrected formation energy: -0.172 eV/atom
SG: Pm
electronic total energy: -40.0 eV per cell

```
5
Lattice="-2.227 -5.327 0.535 2.380 -2.152 2.084 -1.533 0.911 2.693" Properties=species:S:1:pos:R:3 pbc="T T T"
Sr -2.088 -4.506 1.242
N 0.251 -3.200 2.132
N 1.145 -4.010 2.914
N -2.013 -5.561 3.579
Re -0.901 -1.627 2.881
```

---

8.
The following is a DFT calculation (PBE) of a relaxed structure of TlCd7Ag5.

D(E_F): 4.6 states/eV/cell
SG: Imm2
electronic total energy: -23.3 eV per cell
energy of formation: -0.02 eV per atom

```
13
Lattice="-3.650 0.844 4.303 -2.295 -6.513 3.113 3.554 0.781 6.643" Properties=species:S:1:pos:R:3 pbc="T T T"
Tl 1.249 -5.719 9.744
Cd -1.929 -1.462 6.214
Cd -0.400 -3.509 7.912
Cd -2.090 -0.905 9.750
Cd -3.918 -3.183 8.647
Cd -0.707 -1.076 3.393
Cd -2.991 -4.634 5.935
Cd 0.562 -0.203 8.080
Ag -0.055 0.811 5.466
Ag 1.768 0.390 3.316
Ag -2.971 -2.824 3.706
Ag -1.147 -3.246 1.556
Ag -1.713 -3.774 10.633
```